This record from the Alexandria database describes a geometry-optimized BaLiTm2Te4 structure. The functional is PBE.

Crystal system: orthorhombic
Electronic total energy (eV/atom): -4.53
Raw formation energy (eV/atom): -1.36

a = 4.5079 Å, b = 14.6957 Å, c = 15.2523 Å
α = 90.00°, β = 90.00°, γ = 90.00°
Space group Cmcm (No. 63)
Unique sites:
Ba  0.0000  0.1234  0.2500
Li  0.0000  0.1520  0.7500
Tm  0.0000  0.3745  0.0588
Te  0.0000  0.0000  0.0000
Te  0.0000  0.2650  0.6103
Te  0.0000  0.4447  0.2500